The following is a DFT calculation (GGA-PBE) of crystalline Sr2Ga4AgSn3 at its relaxed geometry.

extended XYZ file:
```
10
Lattice="-2.6439 1.6598 3.6678 -3.9388 -1.9745 -1.9456 1.9269 -9.4076 5.6462" Properties=species:S:1:pos:R:3 pbc="T T T"
Ga 0.0000 0.0000 0.0000
Ga -0.1189 -5.0437 5.3591
Sn 0.9635 -4.7038 2.8231
Ga -1.2455 -4.5212 1.1482
Sr -0.5368 -7.9814 3.2249
Sr -0.8276 -1.5835 3.2824
Ga -3.2913 -0.1573 0.8611
Sn -1.7149 -2.2298 -0.2270
Ag -2.3278 -4.8611 3.6842
Sn 0.3505 -7.3351 6.7344
```

Results
DFT total energy: -3.344 eV per atom
space group: No. 115